Record 1
First-principles (PBE) data for crystalline ZnHg2As at its relaxed geometry, as listed in the Alexandria database.

The distance to the lowest polymorph of the same formula comes out at 95 kJ/mol of formula units. The formation energy is 268 meV per atom. Its magnetization is 0.00 μB per formula unit.

It has space group Immm (No. 71), with a = 2.786 Å, b = 5.578 Å, c = 11.216 Å, α = 90.00°, β = 90.00° and γ = 90.00°. The asymmetric unit holds Zn at (0.000, 0.000, 0.000), Hg at (0.000, 0.500, 0.263) and As at (0.000, 0.000, 0.500).



Record 2
First-principles (PBE) data for crystalline Zr2ZnHgAs at its relaxed geometry, as listed in the Alexandria database.

The formation energy is 731 meV per atom. Its magnetization is 0.00 μB per formula unit.

It has space group P4/mmm (No. 123), with a = 5.333 Å, b = 5.333 Å, c = 4.660 Å, α = 90.00°, β = 90.00° and γ = 90.00°. The asymmetric unit holds Zr at (0.000, 0.500, 0.000), Zn at (0.000, 0.000, 0.500), Hg at (0.000, 0.000, 0.000) and As at (0.500, 0.500, 0.500).



Record 3
First-principles (PBE) data for crystalline ZrHgAs3 at its relaxed geometry, as listed in the Alexandria database.

The distance to the lowest polymorph of the same formula comes out at 0 kJ/mol of formula units. The formation energy is 203 meV per atom. Its magnetization is 0.00 μB per formula unit.

It has space group Pm-3m (No. 221), with a = 5.216 Å, b = 5.216 Å, c = 5.216 Å, α = 90.00°, β = 90.00° and γ = 90.00°. The asymmetric unit holds Zr at (0.000, 0.000, 0.000), Hg at (0.500, 0.500, 0.500) and As at (0.000, 0.000, 0.500).



Record 4
First-principles (PBE) data for crystalline ZrHgAs at its relaxed geometry, as listed in the Alexandria database.

The distance to the lowest polymorph of the same formula comes out at 145 kJ/mol of formula units. The formation energy is -9 meV per atom. Its magnetization is 0.00 μB per formula unit.

It has space group F-43m (No. 216), with a = 6.538 Å, b = 6.538 Å, c = 6.538 Å, α = 90.00°, β = 90.00° and γ = 90.00°. The asymmetric unit holds Zr at (0.000, 0.000, 0.000), Hg at (0.000, 0.000, 0.500) and As at (0.250, 0.250, 0.750).



Copy entry 1 word for word.
First-principles (PBE) data for crystalline ZnHg2As at its relaxed geometry, as listed in the Alexandria database.

The distance to the lowest polymorph of the same formula comes out at 95 kJ/mol of formula units. The formation energy is 268 meV per atom. Its magnetization is 0.00 μB per formula unit.

It has space group Immm (No. 71), with a = 2.786 Å, b = 5.578 Å, c = 11.216 Å, α = 90.00°, β = 90.00° and γ = 90.00°. The asymmetric unit holds Zn at (0.000, 0.000, 0.000), Hg at (0.000, 0.500, 0.263) and As at (0.000, 0.000, 0.500).



Question: Look up the magnetization of the second one.
Answer: 0.00 μB per formula unit



Question: magnetization of number 1 (ZnHg2As)?
Answer: 0.00 μB per formula unit



Question: What is the formula in the third record?
Answer: ZrHgAs3